The following is a PBE calculation of crystalline Mo2AuCl at its relaxed geometry, from Alexandria via LeMat-Bulk.

For the energy relative to the lowest polymorph listed for this composition, the calculation gives 0.829 eV/atom. The energy comes out at -22.75 eV per formula unit. The volume is 17.20 Å³ per atom.

The space group is P4/mmm (No. 123) and the conventional cell measures 3.9058, 3.9058 and 4.5102 Å, with angles of 90.00, 90.00 and 90.00 degrees. The asymmetric unit holds Mo at (0.0000, 0.5000, 0.0000), Au at (0.0000, 0.0000, 0.5000) and Cl at (0.5000, 0.5000, 0.5000).